No. 1
Crystalline SiI2NCl at its relaxed geometry, computed with PBE-GGA.

It has space group P4/mmm (No. 123), with a = 6.182 Å, b = 6.182 Å, c = 3.207 Å, α = 90.00°, β = 90.00° and γ = 90.00°. The asymmetric unit holds Si at (0.000, 0.000, 0.000), I at (0.000, 0.500, 0.000), N at (0.000, 0.000, 0.500) and Cl at (0.500, 0.500, 0.500).

The formation energy from raw total energies comes out at 273.3 meV/atom. The total magnetization is 0.033 μB/atom. The value obtained for the density of states at the Fermi level is 3.447 states/eV/f.u.

=====

No. 2
Crystalline TcTeN2O at its relaxed geometry, computed with PBE-GGA.

It has space group P4/mmm (No. 123), with a = 3.710 Å, b = 3.710 Å, c = 5.669 Å, α = 90.00°, β = 90.00° and γ = 90.00°. The asymmetric unit holds Tc at (0.000, 0.000, 0.000), Te at (0.000, 0.000, 0.500), N at (0.000, 0.500, 0.000) and O at (0.500, 0.500, 0.500).

The formation energy from raw total energies comes out at 590.7 meV/atom. The total magnetization is 0.000 μB/atom. The value obtained for the density of states at the Fermi level is 1.065 states/eV/f.u.